1.
An optimized crystal structure of BaTlIn, computed with PBE-GGA.

The structure in POSCAR format:
```
BaTlIn
1.0
-3.416 -0.375 -4.136
6.483 -0.600 -1.805
1.246 -5.922 3.003
Tl Ba In
2 2 2
Direct
0.680 0.951 0.961 Tl
0.180 0.766 0.146 Tl
0.866 0.750 0.535 Ba
0.366 0.339 0.945 Ba
0.051 0.313 0.341 In
0.551 0.145 0.509 In
```

Calculated values
The density is 7342 kg/m3. The density of states at the Fermi level comes out at 1.4 states/eV/cell. The volume comes out at 34.4 A^3/atom.

---

2.
An optimized crystal structure of BaTl4In, computed with PBE-GGA.

The structure in POSCAR format:
```
BaTl4In
1.0
5.789 0.000 0.000
0.000 8.169 0.000
-2.894 0.000 8.834
Ba Tl In
2 8 2
Direct
0.385 0.750 0.771 Ba
0.615 0.250 0.229 Ba
0.233 0.433 0.466 Tl
0.767 0.567 0.534 Tl
0.233 0.067 0.466 Tl
0.767 0.933 0.534 Tl
0.584 0.750 0.168 Tl
0.416 0.250 0.832 Tl
0.000 0.500 0.000 Tl
0.000 0.000 0.000 Tl
0.142 0.750 0.285 In
0.858 0.250 0.715 In
```

Calculated values
The density is 8504 kg/m3. The density of states at the Fermi level comes out at 8.0 states/eV/cell. The volume comes out at 34.8 A^3/atom.

---

3.
An optimized crystal structure of BaTlIn, computed with PBE-GGA.

The structure in POSCAR format:
```
BaTlIn
1.0
-3.399 -1.563 3.462
2.531 -4.386 0.506
7.135 -1.033 6.541
Tl Ba In
2 2 2
Direct
0.946 0.931 0.609 Tl
0.446 0.901 0.139 Tl
0.446 0.355 0.685 Ba
0.946 0.477 0.063 Ba
0.946 0.666 0.373 In
0.446 0.166 0.374 In
```

Calculated values
The density is 7045 kg/m3. The density of states at the Fermi level comes out at 1.0 states/eV/cell. The volume comes out at 35.9 A^3/atom.

---

4.
An optimized crystal structure of BaTlIn, computed with PBE-GGA.

The structure in POSCAR format:
```
BaTlIn
1.0
-5.455 -0.956 -4.407
-5.983 -3.752 0.469
4.410 4.577 3.114
Ba In Tl
1 1 1
Direct
0.000 0.000 0.000 Ba
0.314 0.314 0.000 In
0.686 0.686 0.000 Tl
```

Calculated values
The density is 7330 kg/m3. The density of states at the Fermi level comes out at 2.2 states/eV/cell. The volume comes out at 34.5 A^3/atom.

---

5.
An optimized crystal structure of Ba2Tl4In3, computed with PBE-GGA.

The structure in POSCAR format:
```
Ba2Tl4In3
1.0
-3.123 -5.453 -0.991
1.279 -5.096 3.589
-7.384 -0.375 4.918
Ba Tl In
2 4 3
Direct
0.626 0.000 0.749 Ba
0.374 0.000 0.251 Ba
0.991 0.674 0.343 Tl
0.665 0.326 0.343 Tl
0.009 0.326 0.657 Tl
0.335 0.674 0.657 Tl
0.000 0.500 0.000 In
0.000 0.000 0.000 In
0.500 0.500 0.000 In
```

Calculated values
The density is 8208 kg/m3. The density of states at the Fermi level comes out at 3.9 states/eV/cell. The volume comes out at 32.3 A^3/atom.

---

6.
An optimized crystal structure of Ba7Tl2In2, computed with PBE-GGA.

The structure in POSCAR format:
```
Ba7Tl2In2
1.0
-4.891 -0.322 6.235
-0.856 -8.909 -1.131
7.546 -1.007 2.223
Ba Tl In
7 2 2
Direct
0.000 0.288 0.500 Ba
0.500 0.712 0.000 Ba
0.000 0.712 0.500 Ba
0.500 0.288 0.000 Ba
0.000 0.000 0.000 Ba
0.500 0.733 0.500 Ba
0.500 0.267 0.500 Ba
0.708 0.000 0.292 Tl
0.292 0.000 0.708 Tl
0.840 0.500 0.840 In
0.160 0.500 0.160 In
```

Calculated values
The density is 5021 kg/m3. The density of states at the Fermi level comes out at 12.6 states/eV/cell. The volume comes out at 48.1 A^3/atom.

---

7.
An optimized crystal structure of BaTl4In, computed with PBE-GGA.

The structure in POSCAR format:
```
BaTl4In
1.0
0.568 2.948 5.851
-4.933 3.677 2.322
-3.558 -2.119 5.108
Ba Tl In
1 4 1
Direct
0.750 0.750 0.750 Ba
0.877 0.374 0.374 Tl
0.374 0.374 0.877 Tl
0.374 0.877 0.374 Tl
0.374 0.374 0.374 Tl
0.000 0.000 0.000 In
```

Calculated values
The density is 8833 kg/m3. The density of states at the Fermi level comes out at 3.4 states/eV/cell. The volume comes out at 33.5 A^3/atom.

---

8.
An optimized crystal structure of Ba2Tl8In, computed with PBE-GGA.

The structure in POSCAR format:
```
Ba2Tl8In
1.0
-4.189 -2.959 -2.576
3.813 -6.730 1.023
-3.964 6.629 8.279
Ba Tl In
2 8 1
Direct
0.636 0.593 0.348 Ba
0.364 0.407 0.652 Ba
0.094 0.194 0.206 Tl
0.923 0.160 0.711 Tl
0.722 0.351 0.981 Tl
0.668 0.135 0.373 Tl
0.332 0.865 0.627 Tl
0.278 0.649 0.019 Tl
0.077 0.840 0.289 Tl
0.906 0.806 0.794 Tl
0.500 0.000 0.000 In
```

Calculated values
The density is 9066 kg/m3. The density of states at the Fermi level comes out at 5.6 states/eV/cell. The volume comes out at 33.7 A^3/atom.

---

9.
An optimized crystal structure of Ba2TlIn, computed with PBE-GGA.

The structure in POSCAR format:
```
Ba2TlIn
1.0
9.542 0.000 0.000
0.000 9.542 0.000
4.771 4.771 3.940
Tl Ba In
2 4 2
Direct
0.000 0.000 0.000 Tl
0.750 0.250 0.500 Tl
0.627 0.125 0.250 Ba
0.123 0.625 0.250 Ba
0.375 0.373 0.750 Ba
0.875 0.877 0.750 Ba
0.500 0.500 0.000 In
0.250 0.750 0.500 In
```

Calculated values
The density is 5498 kg/m3. The density of states at the Fermi level comes out at 16.9 states/eV/cell. The volume comes out at 44.8 A^3/atom.

---

10.
An optimized crystal structure of Ba4TlIn, computed with PBE-GGA.

The structure in POSCAR format:
```
Ba4TlIn
1.0
-4.029 -0.195 -1.658
-1.516 -1.387 3.847
-2.430 14.345 4.214
Ba Tl In
4 1 1
Direct
0.500 0.500 0.868 Ba
0.500 0.500 0.132 Ba
0.000 0.000 0.630 Ba
0.000 0.000 0.370 Ba
0.000 0.000 0.000 Tl
0.500 0.500 0.500 In
```

Calculated values
The density is 5005 kg/m3. The density of states at the Fermi level comes out at 4.6 states/eV/cell. The volume comes out at 48.0 A^3/atom.

---

11.
An optimized crystal structure of BaTl4In2, computed with PBE-GGA.

The structure in POSCAR format:
```
BaTl4In2
1.0
5.430 0.000 0.000
0.000 5.673 0.000
0.000 -2.836 7.535
Ba Tl In
1 4 2
Direct
0.000 0.000 0.000 Ba
0.500 0.823 0.646 Tl
0.000 0.696 0.393 Tl
0.500 0.177 0.354 Tl
0.000 0.304 0.607 Tl
0.500 0.596 0.191 In
0.500 0.404 0.809 In
```

Calculated values
The density is 8475 kg/m3. The density of states at the Fermi level comes out at 3.3 states/eV/cell. The volume comes out at 33.2 A^3/atom.

---

12.
An optimized crystal structure of Ba4TlIn, computed with PBE-GGA.

The structure in POSCAR format:
```
Ba4TlIn
1.0
0.000 5.176 5.176
5.176 0.000 5.176
5.176 5.176 0.000
Ba Tl In
4 1 1
Direct
0.874 0.375 0.375 Ba
0.375 0.375 0.874 Ba
0.375 0.874 0.375 Ba
0.375 0.375 0.375 Ba
0.000 0.000 0.000 Tl
0.750 0.750 0.750 In
```

Calculated values
The density is 5199 kg/m3. The density of states at the Fermi level comes out at 8.6 states/eV/cell. The volume comes out at 46.2 A^3/atom.

---

In eV per atom, the DFT total energy values for the records above are, in order, -2.7668 -2.4512 -2.7465 -2.6368 -2.6846 -2.3479 -2.4778 -2.5008 -2.2980 -2.4385 -2.5492 -1.8810.